1.
Here is a relaxed CdSeN2O crystal from Alexandria via LeMat-Bulk. Energies are from PBE-GGA.

The structure belongs to space group P4/mmm (No. 123); the cell edges are 4.1196, 4.1196 and 5.9135 Å and the angles 90.00°, 90.00° and 90.00°. The asymmetric unit holds Cd at (0.0000, 0.0000, 0.0000), Se at (0.0000, 0.0000, 0.5000), N at (0.0000, 0.5000, 0.0000) and O at (0.5000, 0.5000, 0.5000).

The formation energy (no corrections) comes out at 2.247 eV per atom.

2.
Here is a relaxed Mn2HI crystal from Alexandria via LeMat-Bulk. Energies are from PBE-GGA.

The structure belongs to space group I-42d (No. 122); the cell edges are 5.1937, 5.1937 and 10.2701 Å and the angles 90.00°, 90.00° and 90.00°. The asymmetric unit holds Mn at (0.0338, 0.2500, 0.1250), H at (0.0000, 0.0000, 0.0000) and I at (0.0000, 0.0000, 0.5000).

The value obtained for the total energy is -86.39 eV for the cell shown.

3.
Here is a relaxed Ac2NdSi3Pd12 crystal from Alexandria via LeMat-Bulk. Energies are from PBE-GGA.

The structure belongs to space group R-3m (No. 166, hexagonal axes); the cell edges are 9.4350, 9.4350 and 13.3211 Å and the angles 90.00°, 90.00° and 120.00°. The asymmetric unit holds Ac at (0.0000, 0.0000, 0.1344), Nd at (0.0000, 0.0000, 0.5000), Si at (0.0000, 0.5000, 0.0000), Pd at (0.0044, 0.5022, 0.8215) and Pd at (0.0433, 0.5217, 0.3825).

The formation energy (no corrections) comes out at -0.486 eV per atom.

4.
Here is a relaxed Sc2Sb2Ru crystal from Alexandria via LeMat-Bulk. Energies are from PBE-GGA.

The structure belongs to space group P4/mbm (No. 127); the cell edges are 6.9110, 6.9110 and 4.4122 Å and the angles 90.00°, 90.00° and 90.00°. The asymmetric unit holds Sc at (0.1651, 0.3349, 0.0000), Sb at (0.1494, 0.6494, 0.5000) and Ru at (0.0000, 0.0000, 0.5000).

The formation energy (no corrections) comes out at -0.549 eV per atom.

5.
Here is a relaxed Na2Sn4Pd crystal from Alexandria via LeMat-Bulk. Energies are from PBE-GGA.

The structure belongs to space group I4/mmm (No. 139); the cell edges are 5.2022, 5.2022 and 16.0797 Å and the angles 90.00°, 90.00° and 90.00°. The asymmetric unit holds Na at (0.0000, 0.0000, 0.1390), Sn at (0.0000, 0.0000, 0.3312), Sn at (0.0000, 0.5000, 0.0000) and Pd at (0.0000, 0.0000, 0.5000).

The value obtained for the formation enthalpy at 0 K is 0.32 eV per formula unit.

6.
Here is a relaxed LaTl2Ni crystal from Alexandria via LeMat-Bulk. Energies are from PBE-GGA.

The structure belongs to space group C2/m (No. 12); the cell edges are 6.0361, 12.0453 and 4.2700 Å and the angles 90.00°, 134.74° and 90.00°. The asymmetric unit holds La at (0.0000, 0.0000, 0.0000), Tl at (0.2500, 0.2500, 0.0000) and Ni at (0.0000, 0.5000, 0.0000).

The value obtained for the formation enthalpy at 0 K is 0.44 eV per formula unit.

Number 1: magnetization 4.60 μB/cell. Number 2: magnetization 32.00 μB/cell. Number 3: magnetization 0.00 μB/cell. Number 4: magnetization 0.00 μB/cell. Number 5: magnetization 0.00 μB/cell. Number 6: magnetization 0.00 μB/cell.